CsGd2CuTe4: optimized geometry, PBE.

Properties
M_tot = 0.000 μB/atom
Uncorrected energy = -4.4849 eV/atom
Density = 6.02 g cm⁻³
Space-group type = C2/m (12)

Lattice parameters (Å, degrees): 19.111 19.111 21.261 107.50 107.50 13.20
Element x y z (fractional)
1 Cs 0.890 0.890 0.048
2 Cs 0.983 0.983 0.252
3 Cs 0.762 0.762 0.385
4 Cs 0.238 0.238 0.615
5 Cs 0.017 0.017 0.748
6 Cs 0.110 0.110 0.952
7 Cu 0.548 0.548 0.137
8 Cu 0.201 0.201 0.180
9 Cu 0.389 0.389 0.327
10 Cu 0.611 0.611 0.673
11 Cu 0.799 0.799 0.820
12 Cu 0.452 0.452 0.863
13 Gd 0.000 0.000 0.000
14 Gd 0.242 0.242 0.084
15 Gd 0.631 0.631 0.192
16 Gd 0.833 0.833 0.220
17 Gd 0.122 0.122 0.364
18 Gd 0.398 0.398 0.474
19 Gd 0.000 0.000 0.500
20 Gd 0.602 0.602 0.526
21 Gd 0.878 0.878 0.636
22 Gd 0.167 0.167 0.780
23 Gd 0.369 0.369 0.808
24 Gd 0.758 0.758 0.916
25 Te 0.794 0.794 0.067
26 Te 0.477 0.477 0.085
27 Te 0.683 0.683 0.101
28 Te 0.080 0.080 0.104
29 Te 0.386 0.386 0.203
30 Te 0.275 0.275 0.233
31 Te 0.575 0.575 0.272
32 Te 0.178 0.178 0.284
33 Te 0.860 0.860 0.369
34 Te 0.459 0.459 0.403
35 Te 0.061 0.061 0.431
36 Te 0.666 0.666 0.462
37 Te 0.334 0.334 0.538
38 Te 0.939 0.939 0.569
39 Te 0.541 0.541 0.597
40 Te 0.140 0.140 0.631
41 Te 0.822 0.822 0.716
42 Te 0.425 0.425 0.728
43 Te 0.725 0.725 0.767
44 Te 0.614 0.614 0.797
45 Te 0.920 0.920 0.896
46 Te 0.317 0.317 0.899
47 Te 0.523 0.523 0.915
48 Te 0.206 0.206 0.933